# MnSeCl4 PBE-GGA relaxed
data_MnSeCl4
_chemical_formula_sum 'Mn4 Se4 Cl16'
_cell_length_a 8.282
_cell_length_b 8.282
_cell_length_c 8.282
_cell_angle_alpha 90.00
_cell_angle_beta 90.00
_cell_angle_gamma 90.00
_space_group_name_H-M_alt 'F -4 3 m'
_space_group_IT_number 216
_space_group_name_Hall 'F -4 2 3'
loop_
_atom_site_label
_atom_site_fract_x
_atom_site_fract_y
_atom_site_fract_z
Mn1 0.000 0.000 0.000
Se1 0.250 0.250 0.750
Cl1 0.126 0.126 0.374
# Formation energy (no corrections) = 0.787 eV per atom
# Density of states at the Fermi level = 1.46 states/eV/atom
# Total energy = -0.09384 hartree per atom